Sr2BiS | GGA-PBE | relaxed

Cell: 8.223 8.223 8.982 Å, 90.00 90.00 90.00°
Space group I-42d (No. 122)
One atom of each set of equivalent atoms:
Sr  0.198  0.750  0.125 x8
Bi  0.000  0.000  0.500 x4
S  0.000  0.000  0.000 x4

Computed properties:
Energy above the lowest structure with this stoichiometry in eV per atom: 0.260

ZrAs2SeS | GGA-PBE | relaxed

Cell: 5.266 5.266 5.045 Å, 90.00 90.00 90.00°
Space group P4/mmm (No. 123)
One atom of each set of equivalent atoms:
Zr  0.000  0.000  0.000 x1
As  0.000  0.500  0.000 x2
Se  0.000  0.000  0.500 x1
S  0.500  0.500  0.500 x1

Computed properties:
Energy above the lowest structure with this stoichiometry in eV per atom: 0.105

Sm4Tm7Sc | GGA-PBE | relaxed

Cell: 11.329 5.276 12.957 Å, 90.00 104.38 90.00°
Space group C2/m (No. 12)
One atom of each set of equivalent atoms:
Sm  0.040  0.000  0.284 x4
Sm  0.177  0.500  0.763 x4
Tm  0.000  0.500  0.500 x2
Tm  0.089  0.500  0.129 x4
Tm  0.138  0.000  0.966 x4
Tm  0.235  0.500  0.400 x4
Sc  0.000  0.000  0.500 x2

Computed properties:
Formation energy in eV per atom: 0.21
Energy above the lowest structure with this stoichiometry in eV per atom: 0.103

Cs2NaBr2 | GGA-PBE | relaxed

Cell: 9.882 9.882 4.690 Å, 90.00 90.00 90.00°
Space group P4/mbm (No. 127)
One atom of each set of equivalent atoms:
Cs  0.148  0.352  0.000 x4
Na  0.000  0.000  0.500 x2
Br  0.154  0.654  0.500 x4

Computed properties:
Energy above the lowest structure with this stoichiometry in eV per atom: 0.000

GdLuGaRh | GGA-PBE | relaxed

Cell: 6.981 6.981 6.981 Å, 90.00 90.00 90.00°
Space group F-43m (No. 216)
One atom of each set of equivalent atoms:
Gd  0.000  0.000  0.000 x4
Lu  0.000  0.000  0.500 x4
Ga  0.250  0.250  0.250 x4
Rh  0.250  0.250  0.750 x4

Computed properties:
Formation energy in eV per atom: -0.69

CsRbZnGeOs | GGA-PBE | relaxed

Cell: 4.789 6.938 7.207 Å, 97.19 109.21 110.04°
Space group P1 (No. 1)
One atom of each set of equivalent atoms:
Cs  0.000  0.000  0.000 x1
Rb  0.006  0.438  0.561 x1
Zn  0.236  0.955  0.496 x1
Ge  0.405  0.620  0.180 x1
Os  0.683  0.864  0.481 x1

Computed properties:
Formation energy in eV per atom: 0.52
Energy above the lowest structure with this stoichiometry in eV per atom: 0.284

MnReTe2 | GGA-PBE | relaxed

Cell: 4.066 4.066 9.417 Å, 90.00 90.00 90.00°
Space group I-4m2 (No. 119)
One atom of each set of equivalent atoms:
Mn  0.000  0.000  0.000 x2
Re  0.000  0.500  0.750 x2
Te  0.000  0.000  0.500 x2
Te  0.000  0.500  0.250 x2

Computed properties:
Energy above the lowest structure with this stoichiometry in eV per atom: 0.770

Be2BiMo | GGA-PBE | relaxed

Cell: 6.811 6.811 5.647 Å, 90.00 90.00 90.00°
Space group I-42d (No. 122)
One atom of each set of equivalent atoms:
Be  0.226  0.250  0.125 x8
Bi  0.000  0.000  0.500 x4
Mo  0.000  0.000  0.000 x4

Computed properties:
Formation energy in eV per atom: 0.92

BeFeCoTe2 | GGA-PBE | relaxed

Cell: 4.917 4.917 3.986 Å, 90.00 90.00 90.00°
Space group P4/mmm (No. 123)
One atom of each set of equivalent atoms:
Be  0.000  0.000  0.000 x1
Fe  0.000  0.000  0.500 x1
Co  0.500  0.500  0.000 x1
Te  0.000  0.500  0.500 x2

CsNi2B | GGA-PBE | relaxed

Cell: 5.273 5.273 11.630 Å, 90.00 90.00 90.00°
Space group I-42d (No. 122)
One atom of each set of equivalent atoms:
Cs  0.000  0.000  0.000 x4
Ni  0.001  0.250  0.625 x8
B  0.000  0.000  0.500 x4

Computed properties:
Formation energy in eV per atom: 0.50

Pm5TcBr5 | GGA-PBE | relaxed

Cell: 12.919 5.937 8.953 Å, 90.00 108.91 90.00°
Space group C2/m (No. 12)
One atom of each set of equivalent atoms:
Pm  0.000  0.000  0.000 x2
Pm  0.145  0.500  0.287 x4
Pm  0.170  0.500  0.869 x4
Tc  0.000  0.500  0.000 x2
Br  0.000  0.500  0.500 x2
Br  0.141  0.000  0.777 x4
Br  0.172  0.000  0.360 x4

SmTm2Ag4 | GGA-PBE | relaxed

Cell: 7.251 7.251 6.909 Å, 90.00 90.00 90.00°
Space group I4/mmm (No. 139)
One atom of each set of equivalent atoms:
Sm  0.000  0.000  0.000 x2
Tm  0.000  0.500  0.000 x4
Ag  0.250  0.250  0.250 x8

Computed properties:
Formation energy in eV per atom: -0.09

Pr2DyLu | GGA-PBE | relaxed

Cell: 5.137 5.137 5.017 Å, 90.00 90.00 90.00°
Space group P4/mmm (No. 123)
One atom of each set of equivalent atoms:
Pr  0.000  0.500  0.000 x2
Dy  0.000  0.000  0.500 x1
Lu  0.500  0.500  0.500 x1

Computed properties:
Formation energy in eV per atom: 0.02
Energy above the lowest structure with this stoichiometry in eV per atom: 0.001

Pm6Ho3Er2Sc | GGA-PBE | relaxed

Cell: 6.193 10.723 11.689 Å, 90.00 100.14 90.00°
Space group C2/m (No. 12)
One atom of each set of equivalent atoms:
Pm  0.248  0.165  0.247 x8
Pm  0.249  0.000  0.753 x4
Ho  0.000  0.167  0.500 x4
Ho  0.000  0.500  0.500 x2
Er  0.000  0.333  0.000 x4
Sc  0.000  0.000  0.000 x2

Computed properties:
Formation energy in eV per atom: 0.02

Be2H6I | GGA-PBE | relaxed

Cell: 2.749 6.216 7.034 Å, 101.40 99.31 90.35°
Space group P-1 (No. 2)
One atom of each set of equivalent atoms:
Be  0.058  0.442  0.137 x2
H  0.170  0.826  0.410 x2
H  0.240  0.749  0.479 x2
H  0.397  0.575  0.755 x2
I  0.000  0.000  0.000 x1

LaRhAu | GGA-PBE | relaxed

Cell: 6.649 6.649 6.649 Å, 90.00 90.00 90.00°
Space group F-43m (No. 216)
One atom of each set of equivalent atoms:
La  0.000  0.000  0.000 x4
Rh  0.250  0.250  0.250 x4
Au  0.000  0.000  0.500 x4

Computed properties:
Formation energy in eV per atom: -0.54

Tm4TlCd2 | GGA-PBE | relaxed

Cell: 4.9772 4.9772 29.3258 Å, 90.00 90.00 120.00°
Space group R-3m (No. 166, hexagonal axes)
One atom of each set of equivalent atoms:
Tm  0.0000  0.0000  0.1208 x6
Tm  0.0000  0.0000  0.2983 x6
Tl  0.0000  0.0000  0.5000 x3
Cd  0.0000  0.0000  0.4012 x6

Computed properties:
Formation energy in eV per atom: 0.04
Energy above the lowest structure with this stoichiometry in eV per atom: 0.163

Tb3ScBi2 | GGA-PBE | relaxed

Cell: 4.505 4.505 8.554 Å, 90.00 90.00 90.00°
Space group P-4m2 (No. 115)
One atom of each set of equivalent atoms:
Tb  0.000  0.000  0.000 x1
Tb  0.000  0.500  0.654 x2
Sc  0.500  0.500  0.000 x1
Bi  0.000  0.500  0.277 x2

Computed properties:
Formation energy in eV per atom: -0.61

Ac4NdEr2 | GGA-PBE | relaxed

Cell: 6.801 12.698 13.178 Å, 90.00 104.73 90.00°
Space group Cc (No. 9)
One atom of each set of equivalent atoms:
Ac  0.000  0.073  0.000 x4
Ac  0.090  0.094  0.280 x4
Ac  0.144  0.351  0.936 x4
Ac  0.444  0.137  0.858 x4
Nd  0.045  0.439  0.648 x4
Er  0.247  0.186  0.578 x4
Er  0.358  0.323  0.214 x4

Computed properties:
Formation energy in eV per atom: 0.10

Ca2LaInP | GGA-PBE | relaxed

Cell: 5.408 5.408 5.723 Å, 90.00 90.00 90.00°
Space group P4/mmm (No. 123)
One atom of each set of equivalent atoms:
Ca  0.000  0.500  0.000 x2
La  0.000  0.000  0.500 x1
In  0.500  0.500  0.500 x1
P  0.000  0.000  0.000 x1

Computed properties:
Formation energy in eV per atom: -0.66

ZrCrTc3 | GGA-PBE | relaxed

Cell: 4.442 4.442 4.442 Å, 90.00 90.00 90.00°
Space group Pm-3m (No. 221)
One atom of each set of equivalent atoms:
Zr  0.000  0.000  0.000 x1
Cr  0.500  0.500  0.500 x1
Tc  0.000  0.500  0.500 x3

Computed properties:
Formation energy in eV per atom: 0.62
Energy above the lowest structure with this stoichiometry in eV per atom: 0.000

YErZnNi | GGA-PBE | relaxed

Cell: 6.922 6.922 6.922 Å, 90.00 90.00 90.00°
Space group F-43m (No. 216)
One atom of each set of equivalent atoms:
Y  0.000  0.000  0.000 x4
Er  0.000  0.000  0.500 x4
Zn  0.250  0.250  0.250 x4
Ni  0.250  0.250  0.750 x4

Computed properties:
Formation energy in eV per atom: -0.36
Energy above the lowest structure with this stoichiometry in eV per atom: 0.028

NiIrRu2 | GGA-PBE | relaxed

Cell: 2.693 3.786 5.267 Å, 90.00 90.00 90.00°
Space group Pmmm (No. 47)
One atom of each set of equivalent atoms:
Ni  0.000  0.000  0.000 x1
Ir  0.000  0.000  0.500 x1
Ru  0.500  0.500  0.240 x2

Computed properties:
Formation energy in eV per atom: 0.07
Energy above the lowest structure with this stoichiometry in eV per atom: 0.027

Zr2CuB2 | GGA-PBE | relaxed

Cell: 6.271 6.271 3.411 Å, 90.00 90.00 90.00°
Space group P4/mbm (No. 127)
One atom of each set of equivalent atoms:
Zr  0.184  0.316  0.000 x4
Cu  0.000  0.000  0.500 x2
B  0.097  0.597  0.500 x4

Computed properties:
Formation energy in eV per atom: -0.52

SrMn2Ir | GGA-PBE | relaxed

Cell: 3.0649 3.0649 28.9311 Å, 90.00 90.00 120.00°
Space group R-3m (No. 166, hexagonal axes)
One atom of each set of equivalent atoms:
Sr  0.0000  0.0000  0.0000 x3
Mn  0.0000  0.0000  0.2345 x6
Ir  0.0000  0.0000  0.5000 x3

Computed properties:
Formation energy in eV per atom: 0.75

KSiIr2 | GGA-PBE | relaxed

Cell: 10.899 2.802 6.695 Å, 90.00 117.08 90.00°
Space group C2/m (No. 12)
One atom of each set of equivalent atoms:
K  0.000  0.000  0.000 x2
Si  0.000  0.500  0.500 x2
Ir  0.191  0.000  0.597 x4

no.,magnetization (μB/cell),total energy (eV per atom)
1,4.0,-3.9718
2,0.5,-4.6631
3,0.6,-4.5034
4,0.0,-2.5393
5,28.2,-7.9320
6,0.0,-3.2725
7,6.2,-6.1219
8,0.0,-4.6239
9,0.9,-4.2657
10,0.0,-4.2739
11,0.0,-4.9405
12,0.0,-3.6695
13,0.0,-4.6506
14,0.0,-4.7838
15,0.0,-2.9750
16,0.0,-5.7258
17,0.0,-3.1183
18,0.5,-5.2786
19,0.0,-4.2354
20,0.4,-4.0736
21,0.0,-9.2305
22,0.0,-4.8769
23,0.0,-8.2333
24,0.0,-7.4247
25,23.7,-6.4725
26,0.0,-6.0114